(1)
Density functional theory data (PBE-GGA) for Ca7C6 after structural relaxation.

Fermi-level density of states in states/eV per cell: 7.70
Total magnetization in μB per cell: 0.00
Energy of formation from the pure elements in eV per atom: 0.530

a b c (Å): 7.7012 7.7023 7.7012
angles (deg): 90.94 90.95 90.94
Last column: nearest neighbours and their distance in Å.
Positions (direct):
Ca 0.2749 0.9149 0.2749  2 C 2.33-2.46
Ca 0.9149 0.2749 0.2749  2 C 2.33-2.46
Ca 0.2749 0.2749 0.9149  2 C 2.33-2.46
Ca 0.7251 0.0851 0.7251  2 C 2.33-2.46
Ca 0.7251 0.7251 0.0851  2 C 2.33-2.46
Ca 0.0851 0.7251 0.7251  2 C 2.33-2.46
Ca 0.5000 0.5000 0.5000  2 C 2.31
C 0.8791 0.8791 0.8791  1 C 1.36
C 0.1209 0.1209 0.1209  1 C 1.36
C 0.6762 0.6762 0.6762  1 C 1.30
C 0.3238 0.3238 0.3238  1 C 1.30
C 0.7751 0.7751 0.7751  2 C 1.30-1.36
C 0.2249 0.2249 0.2249  2 C 1.30-1.36

(2)
Density functional theory data (PBE-GGA) for SrCa2Pd after structural relaxation.

Fermi-level density of states in states/eV per cell: 11.86
Total magnetization in μB per cell: 0.00
Energy of formation from the pure elements in eV per atom: -0.409
Excess energy over the best structure of this formula in the dataset in meV per atom: 7

a b c (Å): 6.7174 7.9813 10.0192
angles (deg): 90.00 90.00 90.00
Last column: nearest neighbours and their distance in Å.
Positions (direct):
Sr 0.6342 0.5378 0.2500  2 Pd 3.09-3.21
Sr 0.8658 0.0378 0.2500  2 Pd 3.09-3.21
Sr 0.3658 0.4622 0.7500  2 Pd 3.09-3.21
Sr 0.1342 0.9622 0.7500  2 Pd 3.09-3.21
Ca 0.1579 0.6705 0.0671  2 Pd 2.99-3.07
Ca 0.3421 0.1705 0.4329  2 Pd 2.99-3.07
Ca 0.8421 0.3295 0.5671  2 Pd 2.99-3.07
Ca 0.6579 0.8295 0.9329  2 Pd 2.99-3.07
Ca 0.8421 0.3295 0.9329  2 Pd 2.99-3.07
Ca 0.6579 0.8295 0.5671  2 Pd 2.99-3.07
Ca 0.1579 0.6705 0.4329  2 Pd 2.99-3.07
Ca 0.3421 0.1705 0.0671  2 Pd 2.99-3.07
Pd 0.0745 0.3825 0.2500  4 Ca 2.99-3.07, 2 Sr 3.09-3.21
Pd 0.4255 0.8825 0.2500  4 Ca 2.99-3.07, 2 Sr 3.09-3.21
Pd 0.9255 0.6175 0.7500  4 Ca 2.99-3.07, 2 Sr 3.09-3.21
Pd 0.5745 0.1175 0.7500  4 Ca 2.99-3.07, 2 Sr 3.09-3.21

(3)
Density functional theory data (PBE-GGA) for Li5Zn2Pd after structural relaxation.

Fermi-level density of states in states/eV per cell: 5.72
Total magnetization in μB per cell: 0.00
Energy of formation from the pure elements in eV per atom: -0.252

a b c (Å): 3.8976 5.5976 11.1832
angles (deg): 90.00 90.00 90.00
Last column: nearest neighbours and their distance in Å.
Positions (direct):
Li 0.0000 0.0000 0.0000  6 Li 2.78-2.83, 4 Zn 2.78, 2 Pd 2.80
Li 0.0000 0.5000 0.5000  6 Li 2.78-2.83, 4 Zn 2.78, 2 Pd 2.80
Li 0.0000 0.4848 0.7531  7 Li 2.71-2.85, 1 Pd 2.76, 4 Zn 2.80-2.86
Li 0.0000 0.5152 0.2469  7 Li 2.71-2.85, 1 Pd 2.76, 4 Zn 2.80-2.86
Li 0.0000 0.0152 0.2531  7 Li 2.71-2.85, 1 Pd 2.76, 4 Zn 2.80-2.86
Li 0.0000 0.9848 0.7469  7 Li 2.71-2.85, 1 Pd 2.76, 4 Zn 2.80-2.86
Li 0.5000 0.2523 0.8755  4 Zn 2.68-2.92, 6 Li 2.71-2.85, 2 Pd 2.77
Li 0.5000 0.7477 0.1245  4 Zn 2.68-2.92, 6 Li 2.71-2.85, 2 Pd 2.77
Li 0.5000 0.2477 0.3755  4 Zn 2.68-2.92, 6 Li 2.71-2.85, 2 Pd 2.77
Li 0.5000 0.7523 0.6245  4 Zn 2.68-2.92, 6 Li 2.71-2.85, 2 Pd 2.77
Zn 0.5000 0.2307 0.6155  2 Pd 2.67, 10 Li 2.68-2.92
Zn 0.5000 0.7693 0.3845  2 Pd 2.67, 10 Li 2.68-2.92
Zn 0.5000 0.2693 0.1155  2 Pd 2.67, 10 Li 2.68-2.92
Zn 0.5000 0.7307 0.8845  2 Pd 2.67, 10 Li 2.68-2.92
Pd 0.0000 0.0000 0.5000  4 Zn 2.67, 8 Li 2.76-2.80
Pd 0.0000 0.5000 0.0000  4 Zn 2.67, 8 Li 2.76-2.80